Entry 1:
# MgSnPt (PBE-GGA, optimized geometry)
data_MgSnPt
_chemical_formula_sum 'Mg2 Sn2 Pt2'
_space_group_name_H-M_alt 'I 4 m m'
_space_group_IT_number 107
_space_group_name_Hall 'I 4 -2'
_cell_length_a 3.652
_cell_length_b 3.652
_cell_length_c 8.514
_cell_angle_alpha 90.00
_cell_angle_beta 90.00
_cell_angle_gamma 90.00
loop_
_atom_site_label
_atom_site_type_symbol
_atom_site_fract_x
_atom_site_fract_y
_atom_site_fract_z
Mg1 Mg 0.000 0.000 0.000
Sn1 Sn 0.000 0.000 0.321
Pt1 Pt 0.000 0.000 0.664
# Energy relative to the elements: -0.484 eV/atom



Entry 2:
# Mg5SnPt4 (PBE-GGA, optimized geometry)
data_Mg5SnPt4
_chemical_formula_sum 'Mg5 Sn1 Pt4'
_space_group_name_H-M_alt 'P 4/m m m'
_space_group_IT_number 123
_space_group_name_Hall '-P 4 2'
_cell_length_a 3.287
_cell_length_b 3.287
_cell_length_c 16.045
_cell_angle_alpha 90.00
_cell_angle_beta 90.00
_cell_angle_gamma 90.00
loop_
_atom_site_label
_atom_site_type_symbol
_atom_site_fract_x
_atom_site_fract_y
_atom_site_fract_z
Mg1 Mg 0.000 0.000 0.000
Mg2 Mg 0.000 0.000 0.185
Mg3 Mg 0.000 0.000 0.370
Sn1 Sn 0.500 0.500 0.500
Pt1 Pt 0.500 0.500 0.093
Pt2 Pt 0.500 0.500 0.281
# Energy relative to the elements: -0.710 eV/atom



Entry 3:
# Mg7SnPt4 (PBE-GGA, optimized geometry)
data_Mg7SnPt4
_chemical_formula_sum 'Mg14 Sn2 Pt8'
_space_group_name_H-M_alt 'C 1 2/m 1'
_space_group_IT_number 12
_cell_length_a 12.754
_cell_length_b 4.963
_cell_length_c 9.249
_cell_angle_alpha 90.00
_cell_angle_beta 126.16
_cell_angle_gamma 90.00
loop_
_space_group_symop_operation_xyz
'x,y,z'
'-x,-y,-z'
'-x,y,-z'
'x,-y,z'
'x+1/2,y+1/2,z'
'-x+1/2,-y+1/2,-z'
'-x+1/2,y+1/2,-z'
'x+1/2,-y+1/2,z'
loop_
_atom_site_label
_atom_site_type_symbol
_atom_site_fract_x
_atom_site_fract_y
_atom_site_fract_z
Mg1 Mg 0.000 0.000 0.000
Mg2 Mg 0.065 0.500 0.371
Mg3 Mg 0.188 0.000 0.629
Mg4 Mg 0.219 0.500 0.874
Sn1 Sn 0.000 0.500 0.000
Pt1 Pt 0.066 0.000 0.776
Pt2 Pt 0.197 0.000 0.343
# Energy relative to the elements: -0.447 eV/atom



Entry 4:
# MgSnPt (PBE-GGA, optimized geometry)
data_MgSnPt
_chemical_formula_sum 'Mg1 Sn1 Pt1'
_space_group_name_H-M_alt 'P -6 m 2'
_space_group_IT_number 187
_space_group_name_Hall 'P -6 2'
_cell_length_a 4.5667
_cell_length_b 4.5667
_cell_length_c 3.3372
_cell_angle_alpha 90.00
_cell_angle_beta 90.00
_cell_angle_gamma 120.00
loop_
_atom_site_label
_atom_site_type_symbol
_atom_site_fract_x
_atom_site_fract_y
_atom_site_fract_z
Mg1 Mg 0.0000 0.0000 0.0000
Sn1 Sn 0.3333 0.6667 0.5000
Pt1 Pt 0.6667 0.3333 0.5000
# Energy relative to the elements: -0.443 eV/atom